# 1
! TbSm5Al4 | Alexandria via LeMat-Bulk | GGA-PBE | relaxed; values from VASP
! DFT formation energy: -0.28 eV/atom
! space group: P4/mmm (123)
! energy: -46.0 eV for the cell shown
! magnetic moment: 0.0 μB per formula unit
&SYSTEM
  ibrav = 0, nat = 10, ntyp = 3
/
ATOMIC_SPECIES
Tb 158.93 Tb.upf
Sm 150.36 Sm.upf
Al 26.98 Al.upf
ATOMIC_POSITIONS crystal
Tb 0.000 0.000 0.000
Sm 0.500 0.500 0.127
Sm 0.500 0.500 0.314
Sm 0.500 0.500 0.500
Sm 0.500 0.500 0.686
Sm 0.500 0.500 0.873
Al 0.000 0.000 0.219
Al 0.000 0.000 0.407
Al 0.000 0.000 0.593
Al 0.000 0.000 0.781
CELL_PARAMETERS angstrom
3.647 0.000 0.000
0.000 3.647 0.000
0.000 0.000 20.066

---

# 2
! Tb2Sm3Al2 | Alexandria via LeMat-Bulk | GGA-PBE | relaxed; values from VASP
! DFT formation energy: -0.18 eV/atom
! space group: C2/m (12)
! energy: -32.2 eV for the cell shown
! magnetic moment: 0.0 μB per formula unit
&SYSTEM
  ibrav = 0, nat = 7, ntyp = 3
/
ATOMIC_SPECIES
Tb 158.93 Tb.upf
Sm 150.36 Sm.upf
Al 26.98 Al.upf
ATOMIC_POSITIONS crystal
Tb 0.083 0.083 0.249
Tb 0.917 0.917 0.751
Sm 0.346 0.346 0.038
Sm 0.500 0.500 0.500
Sm 0.654 0.654 0.962
Al 0.217 0.217 0.653
Al 0.783 0.783 0.347
CELL_PARAMETERS angstrom
4.619 -2.670 0.000
4.619 2.670 0.000
-3.090 0.000 7.950

---

# 3
! Tb2Sm3Al2 | Alexandria via LeMat-Bulk | GGA-PBE | relaxed; values from VASP
! DFT formation energy: -0.05 eV/atom
! space group: C2/m (12)
! energy: -31.3 eV for the cell shown
! magnetic moment: 0.0 μB per formula unit
&SYSTEM
  ibrav = 0, nat = 7, ntyp = 3
/
ATOMIC_SPECIES
Tb 158.93 Tb.upf
Sm 150.36 Sm.upf
Al 26.98 Al.upf
ATOMIC_POSITIONS crystal
Tb 0.208 0.208 0.001
Tb 0.792 0.792 0.999
Sm 0.367 0.367 0.499
Sm 0.500 0.500 0.500
Sm 0.633 0.633 0.501
Al 0.066 0.066 0.000
Al 0.934 0.934 0.000
CELL_PARAMETERS angstrom
12.180 -2.319 0.000
12.180 2.319 0.000
-0.003 0.000 3.438

---

# 4
! TbSm4Al4 | Alexandria via LeMat-Bulk | GGA-PBE | relaxed; values from VASP
! DFT formation energy: -0.15 eV/atom
! space group: P4_2/n (86)
! energy: -79.7 eV for the cell shown
! magnetic moment: 0.0 μB per formula unit
&SYSTEM
  ibrav = 0, nat = 18, ntyp = 3
/
ATOMIC_SPECIES
Tb 158.93 Tb.upf
Sm 150.36 Sm.upf
Al 26.98 Al.upf
ATOMIC_POSITIONS crystal
Tb 0.250 0.250 0.250
Tb 0.750 0.750 0.750
Sm 0.080 0.824 0.628
Sm 0.176 0.580 0.128
Sm 0.324 0.920 0.128
Sm 0.420 0.676 0.628
Sm 0.580 0.324 0.372
Sm 0.676 0.080 0.872
Sm 0.824 0.420 0.872
Sm 0.920 0.176 0.372
Al 0.060 0.157 0.852
Al 0.157 0.440 0.648
Al 0.343 0.060 0.648
Al 0.440 0.343 0.852
Al 0.560 0.657 0.148
Al 0.657 0.940 0.352
Al 0.843 0.560 0.352
Al 0.940 0.843 0.148
CELL_PARAMETERS angstrom
8.852 0.000 0.000
0.000 8.852 0.000
0.000 0.000 5.989

---

# 5
! Tb4Sm5Al | Alexandria via LeMat-Bulk | GGA-PBE | relaxed; values from VASP
! DFT formation energy: -0.05 eV/atom
! space group: P4/mmm (123)
! energy: -46.4 eV for the cell shown
! magnetic moment: 0.0 μB per formula unit
&SYSTEM
  ibrav = 0, nat = 10, ntyp = 3
/
ATOMIC_SPECIES
Tb 158.93 Tb.upf
Sm 150.36 Sm.upf
Al 26.98 Al.upf
ATOMIC_POSITIONS crystal
Tb 0.000 0.000 0.104
Tb 0.000 0.000 0.313
Tb 0.000 0.000 0.687
Tb 0.000 0.000 0.896
Sm 0.500 0.500 0.000
Sm 0.500 0.500 0.210
Sm 0.500 0.500 0.421
Sm 0.500 0.500 0.579
Sm 0.500 0.500 0.790
Al 0.000 0.000 0.500
CELL_PARAMETERS angstrom
3.596 0.000 0.000
0.000 3.596 0.000
0.000 0.000 24.272

---

# 6
! TbSmAl | Alexandria via LeMat-Bulk | GGA-PBE | relaxed; values from VASP
! DFT formation energy: -0.01 eV/atom
! space group: Pmmm (47)
! energy: -13.1 eV for the cell shown
! magnetic moment: 0.0 μB per formula unit
&SYSTEM
  ibrav = 0, nat = 3, ntyp = 3
/
ATOMIC_SPECIES
Tb 158.93 Tb.upf
Sm 150.36 Sm.upf
Al 26.98 Al.upf
ATOMIC_POSITIONS crystal
Tb 0.000 0.000 0.000
Sm 0.000 0.500 0.500
Al 0.500 0.500 0.000
CELL_PARAMETERS angstrom
3.488 0.000 0.000
0.000 5.084 0.000
0.000 0.000 5.204

---

# 7
! Tb6SmAl | Alexandria via LeMat-Bulk | GGA-PBE | relaxed; values from VASP
! DFT formation energy: 0.04 eV/atom
! space group: P-1 (2)
! energy: -35.9 eV for the cell shown
! magnetic moment: 0.0 μB per formula unit
&SYSTEM
  ibrav = 0, nat = 8, ntyp = 3
/
ATOMIC_SPECIES
Tb 158.93 Tb.upf
Sm 150.36 Sm.upf
Al 26.98 Al.upf
ATOMIC_POSITIONS crystal
Tb 0.036 0.262 0.059
Tb 0.238 0.942 0.463
Tb 0.442 0.463 0.738
Tb 0.558 0.537 0.262
Tb 0.762 0.058 0.537
Tb 0.964 0.738 0.941
Sm 0.500 0.000 0.000
Al 0.000 0.500 0.500
CELL_PARAMETERS angstrom
6.287 0.000 0.000
-0.466 6.277 0.000
-0.457 -0.491 6.259

---

# 8
! Tb5SmAl6 | Alexandria via LeMat-Bulk | GGA-PBE | relaxed; values from VASP
! DFT formation energy: -0.39 eV/atom
! space group: P2/m (10)
! energy: -55.0 eV for the cell shown
! magnetic moment: 0.0 μB per formula unit
&SYSTEM
  ibrav = 0, nat = 12, ntyp = 3
/
ATOMIC_SPECIES
Tb 158.93 Tb.upf
Sm 150.36 Sm.upf
Al 26.98 Al.upf
ATOMIC_POSITIONS crystal
Tb 0.000 0.000 0.000
Tb 0.333 0.500 0.666
Tb 0.335 0.000 0.669
Tb 0.665 0.000 0.331
Tb 0.667 0.500 0.334
Sm 0.000 0.500 0.000
Al 0.168 0.247 0.336
Al 0.168 0.753 0.336
Al 0.500 0.248 0.000
Al 0.500 0.752 0.000
Al 0.832 0.247 0.664
Al 0.832 0.753 0.664
CELL_PARAMETERS angstrom
5.120 0.000 0.000
0.000 7.272 0.000
-2.549 0.000 7.686

---

# 9
! Tb12Sm3Al | Alexandria via LeMat-Bulk | GGA-PBE | relaxed; values from VASP
! DFT formation energy: -0.02 eV/atom
! space group: P4/mmm (123)
! energy: -73.7 eV for the cell shown
! magnetic moment: 0.0 μB per formula unit
&SYSTEM
  ibrav = 0, nat = 16, ntyp = 3
/
ATOMIC_SPECIES
Tb 158.93 Tb.upf
Sm 150.36 Sm.upf
Al 26.98 Al.upf
ATOMIC_POSITIONS crystal
Tb 0.000 0.000 0.000
Tb 0.000 0.000 0.242
Tb 0.000 0.000 0.500
Tb 0.000 0.000 0.758
Tb 0.000 0.500 0.116
Tb 0.000 0.500 0.372
Tb 0.000 0.500 0.628
Tb 0.000 0.500 0.884
Tb 0.500 0.000 0.116
Tb 0.500 0.000 0.372
Tb 0.500 0.000 0.628
Tb 0.500 0.000 0.884
Sm 0.500 0.500 0.246
Sm 0.500 0.500 0.500
Sm 0.500 0.500 0.754
Al 0.500 0.500 0.000
CELL_PARAMETERS angstrom
4.968 0.000 0.000
0.000 4.968 0.000
0.000 0.000 20.182

---

# 10
! TbSm4Al | Alexandria via LeMat-Bulk | GGA-PBE | relaxed; values from VASP
! DFT formation energy: -0.03 eV/atom
! space group: C2/c (15)
! energy: -54.8 eV for the cell shown
! magnetic moment: 0.0 μB per formula unit
&SYSTEM
  ibrav = 0, nat = 12, ntyp = 3
/
ATOMIC_SPECIES
Tb 158.93 Tb.upf
Sm 150.36 Sm.upf
Al 26.98 Al.upf
ATOMIC_POSITIONS crystal
Tb 0.092 0.908 0.750
Tb 0.908 0.092 0.250
Sm 0.106 0.333 0.875
Sm 0.216 0.584 0.453
Sm 0.333 0.106 0.375
Sm 0.416 0.784 0.047
Sm 0.584 0.216 0.953
Sm 0.667 0.894 0.625
Sm 0.784 0.416 0.547
Sm 0.894 0.667 0.125
Al 0.500 0.500 0.250
Al 0.500 0.500 0.750
CELL_PARAMETERS angstrom
4.437 -7.015 0.000
4.437 7.015 0.000
-2.082 0.000 5.991

---

# 11
! Tb2Sm2Al | Alexandria via LeMat-Bulk | GGA-PBE | relaxed; values from VASP
! DFT formation energy: 0.01 eV/atom
! space group: P6_3/mmc (194)
! energy: -44.8 eV for the cell shown
! magnetic moment: 0.0 μB per formula unit
&SYSTEM
  ibrav = 0, nat = 10, ntyp = 3
/
ATOMIC_SPECIES
Tb 158.93 Tb.upf
Sm 150.36 Sm.upf
Al 26.98 Al.upf
ATOMIC_POSITIONS crystal
Tb 0.000 0.000 0.000
Tb 0.000 0.000 0.500
Tb 0.333 0.667 0.250
Tb 0.667 0.333 0.750
Sm 0.333 0.667 0.593
Sm 0.333 0.667 0.907
Sm 0.667 0.333 0.093
Sm 0.667 0.333 0.407
Al 0.000 0.000 0.250
Al 0.000 0.000 0.750
CELL_PARAMETERS angstrom
5.381 0.000 0.000
-2.690 4.660 0.000
0.000 0.000 12.003

---

# 12
! Tb6SmAl | Alexandria via LeMat-Bulk | GGA-PBE | relaxed; values from VASP
! DFT formation energy: -0.06 eV/atom
! space group: P4/mmm (123)
! energy: -36.7 eV for the cell shown
! magnetic moment: 0.0 μB per formula unit
&SYSTEM
  ibrav = 0, nat = 8, ntyp = 3
/
ATOMIC_SPECIES
Tb 158.93 Tb.upf
Sm 150.36 Sm.upf
Al 26.98 Al.upf
ATOMIC_POSITIONS crystal
Tb 0.000 0.000 0.000
Tb 0.000 0.000 0.500
Tb 0.000 0.500 0.237
Tb 0.000 0.500 0.763
Tb 0.500 0.000 0.237
Tb 0.500 0.000 0.763
Sm 0.500 0.500 0.500
Al 0.500 0.500 0.000
CELL_PARAMETERS angstrom
4.876 0.000 0.000
0.000 4.876 0.000
0.000 0.000 10.026

---

# 13
! Tb7Sm12Al | Alexandria via LeMat-Bulk | GGA-PBE | relaxed; values from VASP
! DFT formation energy: 0.11 eV/atom
! space group: R-3 (148)
! energy: -90.5 eV for the cell shown
! magnetic moment: 0.0 μB per formula unit
&SYSTEM
  ibrav = 0, nat = 20, ntyp = 3
/
ATOMIC_SPECIES
Tb 158.93 Tb.upf
Sm 150.36 Sm.upf
Al 26.98 Al.upf
ATOMIC_POSITIONS crystal
Tb 0.000 0.000 0.000
Tb 0.192 0.597 0.492
Tb 0.403 0.508 0.808
Tb 0.492 0.192 0.597
Tb 0.508 0.808 0.403
Tb 0.597 0.492 0.192
Tb 0.808 0.403 0.508
Sm 0.102 0.207 0.439
Sm 0.117 0.819 0.280
Sm 0.181 0.720 0.883
Sm 0.207 0.439 0.102
Sm 0.280 0.117 0.819
Sm 0.439 0.102 0.207
Sm 0.561 0.898 0.793
Sm 0.720 0.883 0.181
Sm 0.793 0.561 0.898
Sm 0.819 0.280 0.117
Sm 0.883 0.181 0.720
Sm 0.898 0.793 0.561
Al 0.500 0.500 0.500
CELL_PARAMETERS angstrom
7.456 4.304 3.399
-7.456 4.304 3.399
0.000 -8.609 3.399

---

# 14
! TbSm6Al | Alexandria via LeMat-Bulk | GGA-PBE | relaxed; values from VASP
! DFT formation energy: 0.04 eV/atom
! space group: R-3 (148)
! energy: -36.4 eV for the cell shown
! magnetic moment: 0.0 μB per formula unit
&SYSTEM
  ibrav = 0, nat = 8, ntyp = 3
/
ATOMIC_SPECIES
Tb 158.93 Tb.upf
Sm 150.36 Sm.upf
Al 26.98 Al.upf
ATOMIC_POSITIONS crystal
Tb 0.000 0.000 0.000
Sm 0.060 0.263 0.538
Sm 0.263 0.538 0.060
Sm 0.462 0.940 0.737
Sm 0.538 0.060 0.263
Sm 0.737 0.462 0.940
Sm 0.940 0.737 0.462
Al 0.500 0.500 0.500
CELL_PARAMETERS angstrom
4.669 2.696 3.400
-4.669 2.696 3.400
0.000 -5.391 3.400

---

# 15
! Tb12SmAl3 | Alexandria via LeMat-Bulk | GGA-PBE | relaxed; values from VASP
! DFT formation energy: -0.12 eV/atom
! space group: P4/mmm (123)
! energy: -73.5 eV for the cell shown
! magnetic moment: 0.0 μB per formula unit
&SYSTEM
  ibrav = 0, nat = 16, ntyp = 3
/
ATOMIC_SPECIES
Tb 158.93 Tb.upf
Sm 150.36 Sm.upf
Al 26.98 Al.upf
ATOMIC_POSITIONS crystal
Tb 0.000 0.000 0.000
Tb 0.000 0.000 0.242
Tb 0.000 0.000 0.500
Tb 0.000 0.000 0.758
Tb 0.000 0.500 0.121
Tb 0.000 0.500 0.364
Tb 0.000 0.500 0.636
Tb 0.000 0.500 0.879
Tb 0.500 0.000 0.121
Tb 0.500 0.000 0.364
Tb 0.500 0.000 0.636
Tb 0.500 0.000 0.879
Sm 0.500 0.500 0.500
Al 0.500 0.500 0.000
Al 0.500 0.500 0.241
Al 0.500 0.500 0.759
CELL_PARAMETERS angstrom
4.814 0.000 0.000
0.000 4.814 0.000
0.000 0.000 19.686

---

# 16
! TbSm5Al2 | Alexandria via LeMat-Bulk | GGA-PBE | relaxed; values from VASP
! DFT formation energy: -0.02 eV/atom
! space group: P6_3/mmc (194)
! energy: -71.8 eV for the cell shown
! magnetic moment: 0.0 μB per formula unit
&SYSTEM
  ibrav = 0, nat = 16, ntyp = 3
/
ATOMIC_SPECIES
Tb 158.93 Tb.upf
Sm 150.36 Sm.upf
Al 26.98 Al.upf
ATOMIC_POSITIONS crystal
Tb 0.333 0.667 0.250
Tb 0.667 0.333 0.750
Sm 0.000 0.000 0.156
Sm 0.000 0.000 0.344
Sm 0.000 0.000 0.656
Sm 0.000 0.000 0.844
Sm 0.333 0.667 0.556
Sm 0.333 0.667 0.750
Sm 0.333 0.667 0.944
Sm 0.667 0.333 0.056
Sm 0.667 0.333 0.250
Sm 0.667 0.333 0.444
Al 0.333 0.667 0.100
Al 0.333 0.667 0.400
Al 0.667 0.333 0.600
Al 0.667 0.333 0.900
CELL_PARAMETERS angstrom
5.385 0.000 0.000
-2.692 4.663 0.000
0.000 0.000 19.915

---

# 17
! Tb5Sm2Al4 | Alexandria via LeMat-Bulk | GGA-PBE | relaxed; values from VASP
! DFT formation energy: 0.23 eV/atom
! space group: Immm (71)
! energy: -45.1 eV for the cell shown
! magnetic moment: 0.0 μB per formula unit
&SYSTEM
  ibrav = 0, nat = 11, ntyp = 3
/
ATOMIC_SPECIES
Tb 158.93 Tb.upf
Sm 150.36 Sm.upf
Al 26.98 Al.upf
ATOMIC_POSITIONS crystal
Tb 0.000 0.000 0.000
Tb 0.178 0.344 0.834
Tb 0.490 0.656 0.834
Tb 0.510 0.344 0.166
Tb 0.822 0.656 0.166
Sm 0.195 0.695 0.500
Sm 0.805 0.305 0.500
Al 0.143 0.500 0.643
Al 0.408 0.908 0.500
Al 0.592 0.092 0.500
Al 0.857 0.500 0.357
CELL_PARAMETERS angstrom
-2.408 5.401 6.917
2.408 -5.401 6.917
2.408 5.401 -6.917

---

# 18
! Tb2Sm3Al3 | Alexandria via LeMat-Bulk | GGA-PBE | relaxed; values from VASP
! DFT formation energy: -0.22 eV/atom
! space group: P-62m (189)
! energy: -36.4 eV for the cell shown
! magnetic moment: 0.0 μB per formula unit
&SYSTEM
  ibrav = 0, nat = 8, ntyp = 3
/
ATOMIC_SPECIES
Tb 158.93 Tb.upf
Sm 150.36 Sm.upf
Al 26.98 Al.upf
ATOMIC_POSITIONS crystal
Tb 0.333 0.667 0.000
Tb 0.667 0.333 0.000
Sm 0.000 0.756 0.000
Sm 0.244 0.244 0.000
Sm 0.756 0.000 0.000
Al 0.000 0.384 0.500
Al 0.384 0.000 0.500
Al 0.616 0.616 0.500
CELL_PARAMETERS angstrom
8.549 0.000 0.000
-4.274 7.403 0.000
0.000 0.000 3.330

---

# 19
! Tb3Sm3Al | Alexandria via LeMat-Bulk | GGA-PBE | relaxed; values from VASP
! DFT formation energy: -0.04 eV/atom
! space group: P6_3/m (176)
! energy: -64.2 eV for the cell shown
! magnetic moment: 0.0 μB per formula unit
&SYSTEM
  ibrav = 0, nat = 14, ntyp = 3
/
ATOMIC_SPECIES
Tb 158.93 Tb.upf
Sm 150.36 Sm.upf
Al 26.98 Al.upf
ATOMIC_POSITIONS crystal
Tb 0.066 0.821 0.250
Tb 0.179 0.246 0.250
Tb 0.246 0.066 0.750
Tb 0.754 0.934 0.250
Tb 0.821 0.754 0.750
Tb 0.934 0.179 0.750
Sm 0.107 0.625 0.750
Sm 0.375 0.482 0.750
Sm 0.482 0.107 0.250
Sm 0.518 0.893 0.750
Sm 0.625 0.518 0.250
Sm 0.893 0.375 0.250
Al 0.333 0.667 0.250
Al 0.667 0.333 0.750
CELL_PARAMETERS angstrom
9.389 0.000 0.000
-4.694 8.131 0.000
0.000 0.000 5.547

---

# 20
! Tb3Sm4Al4 | Alexandria via LeMat-Bulk | GGA-PBE | relaxed; values from VASP
! DFT formation energy: -0.16 eV/atom
! space group: Immm (71)
! energy: -49.5 eV for the cell shown
! magnetic moment: 0.0 μB per formula unit
&SYSTEM
  ibrav = 0, nat = 11, ntyp = 3
/
ATOMIC_SPECIES
Tb 158.93 Tb.upf
Sm 150.36 Sm.upf
Al 26.98 Al.upf
ATOMIC_POSITIONS crystal
Tb 0.000 0.000 0.000
Tb 0.404 0.904 0.500
Tb 0.596 0.096 0.500
Sm 0.057 0.321 0.736
Sm 0.415 0.679 0.736
Sm 0.585 0.321 0.264
Sm 0.943 0.679 0.264
Al 0.170 0.170 0.000
Al 0.297 0.500 0.797
Al 0.703 0.500 0.203
Al 0.830 0.830 0.000
CELL_PARAMETERS angstrom
-2.590 3.380 8.708
2.590 -3.380 8.708
2.590 3.380 -8.708

---

# 21
! Tb4SmAl5 | Alexandria via LeMat-Bulk | GGA-PBE | relaxed; values from VASP
! DFT formation energy: -0.39 eV/atom
! space group: P4/mmm (123)
! energy: -45.9 eV for the cell shown
! magnetic moment: 0.0 μB per formula unit
&SYSTEM
  ibrav = 0, nat = 10, ntyp = 3
/
ATOMIC_SPECIES
Tb 158.93 Tb.upf
Sm 150.36 Sm.upf
Al 26.98 Al.upf
ATOMIC_POSITIONS crystal
Tb 0.000 0.000 0.099
Tb 0.000 0.000 0.297
Tb 0.000 0.000 0.703
Tb 0.000 0.000 0.901
Sm 0.000 0.000 0.500
Al 0.500 0.500 0.000
Al 0.500 0.500 0.198
Al 0.500 0.500 0.396
Al 0.500 0.500 0.604
Al 0.500 0.500 0.802
CELL_PARAMETERS angstrom
3.622 0.000 0.000
0.000 3.622 0.000
0.000 0.000 18.199